1.
# Na8Sb2As (PBE, optimized geometry)
# * ΔE to the lowest computed polymorph: 0 meV per atom
data_Na8Sb2As
_chemical_formula_sum 'Na16 Sb4 As2'
_cell_length_a 17.512
_cell_length_b 5.272
_cell_length_c 7.176
_cell_angle_alpha 90.00
_cell_angle_beta 114.10
_cell_angle_gamma 90.00
_symmetry_space_group_name_H-M 'C 1 2/m 1'
_symmetry_Int_Tables_number 12
loop_
_symmetry_equiv_pos_as_xyz
'x,y,z'
'-x,-y,-z'
'-x,y,-z'
'x,-y,z'
'x+1/2,y+1/2,z'
'-x+1/2,-y+1/2,-z'
'-x+1/2,y+1/2,-z'
'x+1/2,-y+1/2,z'
loop_
_atom_site_label
_atom_site_fract_x
_atom_site_fract_y
_atom_site_fract_z
Na1 0.001 0.000 0.249
Na2 0.140 0.500 0.900
Na3 0.142 0.500 0.384
Na4 0.187 0.000 0.690
Sb1 0.180 0.000 0.180
As1 0.000 0.500 0.500

2.
Below is crystalline Na3Sb2As at its relaxed geometry, with properties calculated at the PBE level.

```
data_Na3Sb2As
_chemical_formula_sum 'Na12 Sb8 As4'
_cell_length_a 7.059
_cell_length_b 10.836
_cell_length_c 11.153
_cell_angle_alpha 90.00
_cell_angle_beta 129.14
_cell_angle_gamma 90.00
_symmetry_space_group_name_H-M 'P 1 21/c 1'
_symmetry_Int_Tables_number 14
loop_
_symmetry_equiv_pos_as_xyz
'x,y,z'
'-x,-y,-z'
'-x,y+1/2,-z+1/2'
'x,-y+1/2,z+1/2'
loop_
_atom_site_label
_atom_site_fract_x
_atom_site_fract_y
_atom_site_fract_z
Na1 0.101 0.137 0.114
Na2 0.323 0.652 0.318
Na3 0.338 0.612 0.023
Sb1 0.142 0.126 0.829
Sb2 0.495 0.614 0.719
As1 0.217 0.154 0.467
```

3.
Below is crystalline NaSb2As at its relaxed geometry, with properties calculated at the PBE level.

```
data_NaSb2As
_chemical_formula_sum 'Na4 Sb8 As4'
_cell_length_a 7.437
_cell_length_b 7.437
_cell_length_c 9.877
_cell_angle_alpha 90.00
_cell_angle_beta 90.00
_cell_angle_gamma 90.00
_symmetry_space_group_name_H-M 'I -4 2 d'
_symmetry_Int_Tables_number 122
_symmetry_space_group_name_Hall 'I -4 2bw'
loop_
_atom_site_label
_atom_site_fract_x
_atom_site_fract_y
_atom_site_fract_z
Na1 0.000 0.000 0.000
Sb1 0.194 0.250 0.625
As1 0.000 0.000 0.500
```

4.
# NaSb3As (PBE, optimized geometry)
# * ΔE to the lowest computed polymorph: 639 meV per atom
data_NaSb3As
_chemical_formula_sum 'Na1 Sb3 As1'
_cell_length_a 5.329
_cell_length_b 5.329
_cell_length_c 5.329
_cell_angle_alpha 90.00
_cell_angle_beta 90.00
_cell_angle_gamma 90.00
_symmetry_space_group_name_H-M 'P m -3 m'
_symmetry_Int_Tables_number 221
_symmetry_space_group_name_Hall '-P 4 2 3'
loop_
_atom_site_label
_atom_site_fract_x
_atom_site_fract_y
_atom_site_fract_z
Na1 0.000 0.000 0.000
Sb1 0.000 0.000 0.500
As1 0.500 0.500 0.500

5.
Below is crystalline NaSb2As at its relaxed geometry, with properties calculated at the PBE level.

```
data_NaSb2As
_chemical_formula_sum 'Na1 Sb2 As1'
_cell_length_a 4.583
_cell_length_b 4.583
_cell_length_c 4.701
_cell_angle_alpha 90.00
_cell_angle_beta 90.00
_cell_angle_gamma 90.00
_symmetry_space_group_name_H-M 'P 4/m m m'
_symmetry_Int_Tables_number 123
_symmetry_space_group_name_Hall '-P 4 2'
loop_
_atom_site_label
_atom_site_fract_x
_atom_site_fract_y
_atom_site_fract_z
Na1 0.000 0.000 0.000
Sb1 0.000 0.500 0.500
As1 0.500 0.500 0.000
```

6.
# NaSbAs (PBE, optimized geometry)
# * ΔE to the lowest computed polymorph: 91 meV per atom
data_NaSbAs
_chemical_formula_sum 'Na4 Sb4 As4'
_cell_length_a 7.725
_cell_length_b 3.961
_cell_length_c 12.037
_cell_angle_alpha 90.00
_cell_angle_beta 102.84
_cell_angle_gamma 90.00
_symmetry_space_group_name_H-M 'C 1 2/m 1'
_symmetry_Int_Tables_number 12
loop_
_symmetry_equiv_pos_as_xyz
'x,y,z'
'-x,-y,-z'
'-x,y,-z'
'x,-y,z'
'x+1/2,y+1/2,z'
'-x+1/2,-y+1/2,-z'
'-x+1/2,y+1/2,-z'
'x+1/2,-y+1/2,z'
loop_
_atom_site_label
_atom_site_fract_x
_atom_site_fract_y
_atom_site_fract_z
Na1 0.234 0.000 0.219
Sb1 0.135 0.500 0.432
As1 0.147 0.000 0.958

7.
# Na2SbAs2 (PBE, optimized geometry)
# * ΔE to the lowest computed polymorph: 71 meV per atom
data_Na2SbAs2
_chemical_formula_sum 'Na4 Sb2 As4'
_cell_length_a 8.512
_cell_length_b 8.512
_cell_length_c 3.146
_cell_angle_alpha 90.00
_cell_angle_beta 90.00
_cell_angle_gamma 90.00
_symmetry_space_group_name_H-M 'P 4/m b m'
_symmetry_Int_Tables_number 127
_symmetry_space_group_name_Hall '-P 4 2ab'
loop_
_atom_site_label
_atom_site_fract_x
_atom_site_fract_y
_atom_site_fract_z
Na1 0.120 0.380 0.000
Sb1 0.000 0.000 0.500
As1 0.181 0.681 0.500

8.
Below is crystalline Na4SbAs2 at its relaxed geometry, with properties calculated at the PBE level.

```
data_Na4SbAs2
_chemical_formula_sum 'Na12 Sb3 As6'
_cell_length_a 4.9821
_cell_length_b 4.9821
_cell_length_c 28.2934
_cell_angle_alpha 90.00
_cell_angle_beta 90.00
_cell_angle_gamma 120.00
_symmetry_space_group_name_H-M 'R -3 m'
_symmetry_Int_Tables_number 166
_symmetry_space_group_name_Hall '-R 3 2"'
loop_
_atom_site_label
_atom_site_fract_x
_atom_site_fract_y
_atom_site_fract_z
Na1 0.0000 0.0000 0.1086
Na2 0.0000 0.0000 0.2951
Sb1 0.0000 0.0000 0.5000
As1 0.0000 0.0000 0.4038
```

9.
# NaSbAs (PBE, optimized geometry)
# * ΔE to the lowest computed polymorph: 0 meV per atom
data_NaSbAs
_chemical_formula_sum 'Na2 Sb2 As2'
_cell_length_a 6.296
_cell_length_b 3.948
_cell_length_c 7.062
_cell_angle_alpha 90.00
_cell_angle_beta 103.39
_cell_angle_gamma 90.00
_symmetry_space_group_name_H-M 'P 1 21/m 1'
_symmetry_Int_Tables_number 11
loop_
_symmetry_equiv_pos_as_xyz
'x,y,z'
'-x,-y,-z'
'-x,y+1/2,-z'
'x,-y+1/2,z'
loop_
_atom_site_label
_atom_site_fract_x
_atom_site_fract_y
_atom_site_fract_z
Na1 0.189 0.250 0.388
Sb1 0.199 0.250 0.906
As1 0.370 0.750 0.738

10.
# Na2SbAs (PBE, optimized geometry)
# * ΔE to the lowest computed polymorph: 214 meV per atom
data_Na2SbAs
_chemical_formula_sum 'Na8 Sb4 As4'
_cell_length_a 7.270
_cell_length_b 7.270
_cell_length_c 7.270
_cell_angle_alpha 90.00
_cell_angle_beta 90.00
_cell_angle_gamma 90.00
_symmetry_space_group_name_H-M 'F m -3 m'
_symmetry_Int_Tables_number 225
_symmetry_space_group_name_Hall '-F 4 2 3'
loop_
_atom_site_label
_atom_site_fract_x
_atom_site_fract_y
_atom_site_fract_z
Na1 0.250 0.250 0.250
Sb1 0.000 0.000 0.000
As1 0.000 0.000 0.500

11.
# Na3SbAs (PBE, optimized geometry)
# * ΔE to the lowest computed polymorph: 0 meV per atom
data_Na3SbAs
_chemical_formula_sum 'Na12 Sb4 As4'
_cell_length_a 7.335
_cell_length_b 7.213
_cell_length_c 10.328
_cell_angle_alpha 90.00
_cell_angle_beta 99.98
_cell_angle_gamma 90.00
_symmetry_space_group_name_H-M 'P 1 21/c 1'
_symmetry_Int_Tables_number 14
loop_
_symmetry_equiv_pos_as_xyz
'x,y,z'
'-x,-y,-z'
'-x,y+1/2,-z+1/2'
'x,-y+1/2,z+1/2'
loop_
_atom_site_label
_atom_site_fract_x
_atom_site_fract_y
_atom_site_fract_z
Na1 0.080 0.153 0.407
Na2 0.207 0.519 0.627
Na3 0.338 0.016 0.741
Sb1 0.479 0.706 0.992
As1 0.123 0.748 0.871

12.
# Na2SbAs (PBE, optimized geometry)
# * ΔE to the lowest computed polymorph: 48 meV per atom
data_Na2SbAs
_chemical_formula_sum 'Na8 Sb4 As4'
_cell_length_a 6.817
_cell_length_b 6.209
_cell_length_c 10.881
_cell_angle_alpha 90.00
_cell_angle_beta 90.00
_cell_angle_gamma 90.00
_symmetry_space_group_name_H-M 'P n n a'
_symmetry_Int_Tables_number 52
loop_
_symmetry_equiv_pos_as_xyz
'x,y,z'
'-x,-y,-z'
'-x+1/2,-y,z'
'x+1/2,y,-z'
'x,-y+1/2,-z+1/2'
'-x,y+1/2,z+1/2'
'-x+1/2,y+1/2,-z+1/2'
'x+1/2,-y+1/2,z+1/2'
loop_
_atom_site_label
_atom_site_fract_x
_atom_site_fract_y
_atom_site_fract_z
Na1 0.090 0.221 0.088
Sb1 0.013 0.250 0.750
As1 0.250 0.000 0.617

Number 1: formation energy from raw total energies -0.3786 eV/atom, M_tot 0.00 μB per formula unit, energy -2.510 eV/atom. Number 2: formation energy from raw total energies -0.3154 eV/atom, M_tot 0.00 μB per formula unit, energy -3.124 eV/atom. Number 3: formation energy from raw total energies 0.0613 eV/atom, M_tot 0.00 μB per formula unit, energy -3.492 eV/atom. Number 4: formation energy from raw total energies 1.0198 eV/atom, M_tot 0.00 μB per formula unit, energy -2.647 eV/atom. Number 5: formation energy from raw total energies 0.0059 eV/atom, M_tot 0.00 μB per formula unit, energy -3.547 eV/atom. Number 6: formation energy from raw total energies -0.1199 eV/atom, M_tot 0.00 μB per formula unit, energy -3.484 eV/atom. Number 7: formation energy from raw total energies -0.1347 eV/atom, M_tot 0.00 μB per formula unit, energy -3.347 eV/atom. Number 8: formation energy from raw total energies -0.2388 eV/atom, M_tot 0.00 μB per formula unit, energy -2.910 eV/atom. Number 9: formation energy from raw total energies -0.2110 eV/atom, M_tot 0.00 μB per formula unit, energy -3.575 eV/atom. Number 10: formation energy from raw total energies -0.1267 eV/atom, M_tot 0.00 μB per formula unit, energy -2.979 eV/atom. Number 11: formation energy from raw total energies -0.3393 eV/atom, M_tot 0.00 μB per formula unit, energy -2.885 eV/atom. Number 12: formation energy from raw total energies -0.2924 eV/atom, M_tot 0.00 μB per formula unit, energy -3.145 eV/atom.